Material: ScWAu2
Method: DFT, PBE-GGA
State: relaxed

Cell lengths 4.2099, 4.2099, 8.0613 Å; angles 90.00, 90.00, 90.00 degrees
Space group I4/mmm (No. 139)
One atom of each set of equivalent atoms:
Sc  0.0000  0.0000  0.0000 [2 per cell]
W  0.0000  0.0000  0.5000 [2 per cell]
Au  0.0000  0.5000  0.2500 [4 per cell]

Energy = -6.397 eV/atom
Energy relative to the elements = 0.062 eV/atom

Material: ScW2Au
Method: DFT, PBE-GGA
State: relaxed

Cell lengths 3.5034, 3.5034, 5.7129 Å; angles 90.00, 90.00, 90.00 degrees
Space group P4/mmm (No. 123)
One atom of each set of equivalent atoms:
Sc  0.0000  0.0000  0.0000 [1 per cell]
W  0.5000  0.5000  0.2596 [2 per cell]
Au  0.0000  0.0000  0.5000 [1 per cell]

Energy = -8.362 eV/atom
Energy relative to the elements = 0.517 eV/atom

Material: YScAu
Method: DFT, PBE-GGA
State: relaxed

Cell lengths 4.7900, 12.5424, 7.2291 Å; angles 90.00, 90.00, 90.00 degrees
Space group Amm2 (No. 38)
One atom of each set of equivalent atoms:
Y  0.0000  0.0000  0.0000 [2 per cell]
Y  0.0000  0.2051  0.3842 [4 per cell]
Sc  0.5000  0.0000  0.3345 [2 per cell]
Sc  0.5000  0.1275  0.7173 [4 per cell]
Au  0.0000  0.0000  0.5894 [2 per cell]
Au  0.5000  0.1668  0.0899 [4 per cell]

Energy = -6.009 eV/atom
Energy relative to the elements = -0.651 eV/atom

Material: Y2ScAu6
Method: DFT, PBE-GGA
State: relaxed

Cell lengths 5.2027, 15.9490, 5.1964 Å; angles 90.00, 119.82, 90.00 degrees
Space group C2/m (No. 12)
One atom of each set of equivalent atoms:
Y  0.0000  0.1647  0.0000 [4 per cell]
Sc  0.0000  0.5000  0.5000 [2 per cell]
Au  0.1582  0.0000  0.8274 [4 per cell]
Au  0.1632  0.3381  0.3353 [8 per cell]

Energy = -5.086 eV/atom
Energy relative to the elements = -0.761 eV/atom

Material: Y2ScAu
Method: DFT, PBE-GGA
State: relaxed

Cell lengths 3.6548, 3.6548, 7.7432 Å; angles 90.00, 90.00, 90.00 degrees
Space group P4/mmm (No. 123)
One atom of each set of equivalent atoms:
Y  0.0000  0.0000  0.2248 [2 per cell]
Sc  0.5000  0.5000  0.5000 [1 per cell]
Au  0.5000  0.5000  0.0000 [1 per cell]

Energy = -6.007 eV/atom
Energy relative to the elements = -0.373 eV/atom

Material: Y2ScAu
Method: DFT, PBE-GGA
State: relaxed

Cell lengths 7.3822, 7.3822, 7.3822 Å; angles 90.00, 90.00, 90.00 degrees
Space group Fm-3m (No. 225)
One atom of each set of equivalent atoms:
Y  0.2500  0.2500  0.2500 [8 per cell]
Sc  0.0000  0.0000  0.0000 [4 per cell]
Au  0.0000  0.0000  0.5000 [4 per cell]

Energy = -5.830 eV/atom
Energy relative to the elements = -0.196 eV/atom

Material: YSc5Au6
Method: DFT, PBE-GGA
State: relaxed

Cell lengths 4.8680, 6.8711, 14.6207 Å; angles 90.00, 90.00, 90.00 degrees
Space group Immm (No. 71)
One atom of each set of equivalent atoms:
Y  0.0000  0.0000  0.0000 [2 per cell]
Sc  0.0000  0.0000  0.3319 [4 per cell]
Sc  0.0000  0.5000  0.0000 [2 per cell]
Sc  0.0000  0.5000  0.3348 [4 per cell]
Au  0.0000  0.2323  0.5000 [4 per cell]
Au  0.0000  0.2590  0.1722 [8 per cell]

Energy = -5.619 eV/atom
Energy relative to the elements = -0.804 eV/atom

Material: Y2ScAu
Method: DFT, PBE-GGA
State: relaxed

Cell lengths 3.6382, 3.6382, 28.9559 Å; angles 90.00, 90.00, 120.00 degrees
Space group R3m (No. 160, hexagonal axes)
One atom of each set of equivalent atoms:
Y  0.0000  0.0000  0.0000 [3 per cell]
Y  0.0000  0.0000  0.1851 [3 per cell]
Sc  0.0000  0.0000  0.4262 [3 per cell]
Au  0.0000  0.0000  0.5922 [3 per cell]

Energy = -5.875 eV/atom
Energy relative to the elements = -0.241 eV/atom

Material: Y2ScAu
Method: DFT, PBE-GGA
State: relaxed

Cell lengths 8.4629, 8.4629, 6.2449 Å; angles 90.00, 90.00, 90.00 degrees
Space group I-42d (No. 122)
One atom of each set of equivalent atoms:
Y  0.1980  0.2500  0.1250 [8 per cell]
Sc  0.0000  0.0000  0.5000 [4 per cell]
Au  0.0000  0.0000  0.0000 [4 per cell]

Energy = -5.793 eV/atom
Energy relative to the elements = -0.159 eV/atom

Material: YScAu
Method: DFT, PBE-GGA
State: relaxed

Cell lengths 6.7574, 6.7574, 6.7574 Å; angles 90.00, 90.00, 90.00 degrees
Space group F-43m (No. 216)
One atom of each set of equivalent atoms:
Y  0.0000  0.0000  0.0000 [4 per cell]
Sc  0.2500  0.2500  0.2500 [4 per cell]
Au  0.2500  0.2500  0.7500 [4 per cell]

Energy = -5.148 eV/atom
Energy relative to the elements = 0.210 eV/atom

Material: YScAu
Method: DFT, PBE-GGA
State: relaxed

Cell lengths 4.5553, 4.5553, 7.1394 Å; angles 90.00, 90.00, 90.00 degrees
Space group P4/nmm (No. 129, origin choice 2)
One atom of each set of equivalent atoms:
Y  0.2500  0.2500  0.1338 [2 per cell]
Sc  0.2500  0.7500  0.5000 [2 per cell]
Au  0.2500  0.2500  0.7323 [2 per cell]

Energy = -5.972 eV/atom
Energy relative to the elements = -0.615 eV/atom

Material: YScAu
Method: DFT, PBE-GGA
State: relaxed

Cell lengths 4.7247, 4.7247, 3.8093 Å; angles 90.00, 90.00, 120.00 degrees
Space group P3m1 (No. 156)
One atom of each set of equivalent atoms:
Y  0.0000  0.0000  0.0000 [1 per cell]
Sc  0.3333  0.6667  0.5165 [1 per cell]
Au  0.6667  0.3333  0.3994 [1 per cell]

Energy = -5.799 eV/atom
Energy relative to the elements = -0.442 eV/atom

no.,total magnetization (μB per cell)
1,0.04
2,0.00
3,0.00
4,0.00
5,0.00
6,0.05
7,0.00
8,1.02
9,0.00
10,0.00
11,0.00
12,0.00